Compound: RbHPd
Source: the Alexandria database
Functional: PBE
Structure: relaxed

The polymorph energy (0 for the lowest one) comes out at 81.1 meV per atom. The value obtained for the theoretical density is 3.962 Mg/m³.

It has space group Pm (No. 6), with a = 5.127 Å, b = 3.460 Å, c = 5.149 Å, α = 90.00°, β = 117.74° and γ = 90.00°. The distinct sites, in fractional coordinates, are Rb at (0.000, 0.000, 0.000), H at (0.338, 0.000, 0.657) and Pd at (0.340, 0.500, 0.657).